First-principles (GGA-PBE) data for Sr2AgPb after structural relaxation, as listed in Alexandria.

Output
* formation energy from the elements: -0.51 eV/f.u.
* volume: 36.154 Å³ per atom
* N(E_F): 4.955 states/eV/f.u.
* size of the total moment: 0.0 μB/cell
* energy: -10.43 eV per formula unit

Cell: 8.8645 8.8645 7.2690 Å, 52.43 52.43 90.00°
With the nearest neighbours (Å) after each atom.
Atoms (fractional coordinates):
1 Pb 0.0000 0.0000 0.0000  4 Sr 3.39, 2 Ag 3.68
2 Pb 0.7500 0.2500 0.5000  4 Sr 3.39, 2 Ag 3.68
3 Sr 0.6042 0.1250 0.2500  2 Ag 3.14, 2 Pb 3.39
4 Sr 0.1458 0.6250 0.2500  2 Ag 3.14, 2 Pb 3.39
5 Sr 0.3750 0.3958 0.7500  2 Ag 3.14, 2 Pb 3.39
6 Sr 0.8750 0.8542 0.7500  2 Ag 3.14, 2 Pb 3.39
7 Ag 0.5000 0.5000 0.0000  4 Sr 3.14
8 Ag 0.2500 0.7500 0.5000  4 Sr 3.14